Pr2In3 | GGA-PBE | relaxed

Computed properties:
The total DFT energy (no corrections) is -3.9254 eV/atom. The calculation puts the formation energy from the elements at -0.370 eV/atom.

a b c (Å): 8.1772 8.1772 8.1772
angles (deg): 34.31 34.31 34.31
Fractional positions:
Pr  0.0932  0.0932  0.0932
Pr  0.9068  0.9068  0.9068
In  0.3488  0.3488  0.3488
In  0.5000  0.5000  0.5000
In  0.6512  0.6512  0.6512

LiHfIn3 | GGA-PBE | relaxed

Computed properties:
The total DFT energy (no corrections) is -3.6178 eV/atom. The calculation puts the formation energy from the elements at 0.399 eV/atom.

a b c (Å): 4.8302 4.8302 4.8302
angles (deg): 90.00 90.00 90.00
Fractional positions:
Li  0.0000  0.0000  0.0000
Hf  0.5000  0.5000  0.5000
In  0.0000  0.0000  0.5000
In  0.0000  0.5000  0.0000
In  0.5000  0.0000  0.0000